Density functional theory data (PBE) for a geometry-optimized LiLuNiAg structure.

Results
DFT formation energy ... -0.72 eV per formula unit

Structure (extended XYZ):
```
4
Lattice="-2.5022 3.7418 0.7594 -4.2284 0.3007 -1.6938 -3.5997 -0.1911 2.8008" Properties=species:S:1:pos:R:3 pbc="T T T"
Ag -5.1652 1.9257 0.9332
Li -7.7477 2.8886 1.3998
Ni -2.5826 0.9629 0.4666
Lu 0.0000 0.0000 0.0000
```

Density functional theory data (PBE) for a geometry-optimized CsCu2PbBr6 structure.

Results
Formation energy (no corrections) ... -0.76 eV per atom

Structure (extended XYZ):
```
10
Lattice="7.5094 -0.0001 0.0000 3.7547 6.5033 0.0000 3.7547 2.1677 8.5542" Properties=species:S:1:pos:R:3 pbc="T T T"
Br 8.9287 6.3184 6.1041
Br 8.5171 2.1149 6.1041
Br 6.0902 2.3525 2.4501
Br 5.0825 4.5731 6.1041
Br 6.5018 6.5561 2.4501
Br 9.9363 4.0978 2.4501
Cs 0.0000 0.0000 0.0000
Cu 11.2641 6.5032 5.9804
Cu 3.7547 2.1677 2.5738
Pb 7.5094 4.3355 4.2771
```

Density functional theory data (PBE) for a geometry-optimized CdAs3 structure.

Results
DFT formation energy ... 1.47 eV per formula unit

Structure (extended XYZ):
```
4
Lattice="10.5948 -0.0454 -0.0265 10.1834 2.9240 -0.0265 10.1834 1.4108 2.5613" Properties=species:S:1:pos:R:3 pbc="T T T"
As 23.3806 3.2391 1.8940
As 15.4808 2.1447 1.2541
As 7.5810 1.0503 0.6141
Cd 0.0000 0.0000 0.0000
```

Density functional theory data (PBE) for a geometry-optimized TlCu2GeF8 structure.

Results
Formation energy (no corrections) ... -1.87 eV per atom

Structure (extended XYZ):
```
12
Lattice="-3.5684 2.4369 2.7308 2.9995 -1.7525 3.6665 2.6404 7.2367 2.0846" Properties=species:S:1:pos:R:3 pbc="T T T"
F 2.1870 7.0634 3.8677
F 3.9122 5.0057 5.2582
F -1.8407 2.9154 3.2237
F 2.5643 0.0038 3.6590
F 1.9189 3.1255 4.4871
F -0.4928 7.9173 4.8228
F -0.1155 0.8577 4.6142
F 0.1526 4.7956 3.9948
Cu 2.0888 5.1101 4.3770
Cu -0.0173 2.8109 4.1049
Ge 0.0000 0.0000 0.0000
Tl 1.3202 3.6183 1.0423
```

Density functional theory data (PBE) for a geometry-optimized Zn2Mo structure.

Results
DFT formation energy ... 0.17 eV per formula unit

Structure (extended XYZ):
```
6
Lattice="2.7267 0.0000 0.0000 1.3634 7.1872 0.0000 0.0000 0.0000 4.5587" Properties=species:S:1:pos:R:3 pbc="T T T"
Zn 2.7267 2.4910 2.2793
Zn 1.3634 6.2934 0.0000
Zn 1.3634 4.8560 2.2793
Zn 2.7267 3.9284 0.0000
Mo 1.3634 1.5125 0.0000
Mo 1.3634 0.0846 2.2793
```

Density functional theory data (PBE) for a geometry-optimized Ac3TmAg4 structure.

Results
DFT formation energy ... -2.09 eV per formula unit

Structure (extended XYZ):
```
8
Lattice="3.8564 0.0000 0.0000 0.0000 3.8564 0.0000 0.0000 0.0000 15.5658" Properties=species:S:1:pos:R:3 pbc="T T T"
Ac 1.9282 1.9282 7.7829
Ac 1.9282 1.9282 11.8478
Ac 1.9282 1.9282 3.7180
Ag 0.0000 0.0000 1.5549
Ag 0.0000 0.0000 5.7531
Ag 0.0000 0.0000 9.8127
Ag 0.0000 0.0000 14.0109
Tm 1.9282 1.9282 0.0000
```

Density functional theory data (PBE) for a geometry-optimized ZnCoRu2 structure.

Results
DFT formation energy ... 0.30 eV per formula unit

Structure (extended XYZ):
```
4
Lattice="-0.0184 0.5043 2.6486 -0.2624 -2.6365 0.5001 7.1480 -0.6774 0.1787" Properties=species:S:1:pos:R:3 pbc="T T T"
Ru 7.0717 -0.6702 0.1768
Ru 1.6094 -1.2319 1.6181
Zn 3.6758 -0.3484 0.0919
Co 5.2323 -1.5753 1.7087
```

Density functional theory data (PBE) for a geometry-optimized Pr2YSc3 structure.

Results
DFT formation energy ... 1.36 eV per formula unit

Structure (extended XYZ):
```
12
Lattice="-0.1555 6.1174 1.5983 -3.5526 -2.1086 -4.7890 -7.9831 -1.9777 6.7928" Properties=species:S:1:pos:R:3 pbc="T T T"
Pr 0.0000 0.0000 0.0000
Pr -3.9915 -0.9888 3.3964
Pr -6.9576 -0.4906 1.2009
Pr -4.7336 2.5218 2.4012
Sc -4.9385 -1.1979 -2.0341
Sc -6.6764 0.2282 4.8522
Sc -6.7527 3.2290 5.6362
Sc -3.1958 -0.1636 0.3150
Sc -5.0148 1.8029 -1.2501
Sc -8.4954 2.1947 3.2871
Y -1.7693 3.2561 -0.1212
Y -9.9219 -1.2250 3.7233
```

Density functional theory data (PBE) for a geometry-optimized Mg5In2 structure.

Results
DFT formation energy ... -0.52 eV per formula unit

Structure (extended XYZ):
```
14
Lattice="8.6056 -0.0351 -0.0007 3.2093 7.9848 0.0007 -5.4330 -4.6799 4.7579" Properties=species:S:1:pos:R:3 pbc="T T T"
In 1.0706 1.5322 3.4827
In 2.4986 5.9179 1.1041
In 3.8833 -2.6481 3.6538
In 5.3113 1.7376 1.2752
Mg 2.6037 2.9522 1.1896
Mg -1.6278 0.1934 3.1515
Mg 5.3515 4.8011 1.1896
Mg 1.0303 -1.5313 3.5682
Mg -1.7175 -3.3802 3.5682
Mg 1.5459 -0.0717 0.7722
Mg 8.0096 3.0764 1.6064
Mg 8.0993 6.6500 1.1896
Mg 4.8359 3.3415 3.9856
Mg 3.7782 0.3176 3.5682
```

Density functional theory data (PBE) for a geometry-optimized TbHoMgMn structure.

Results
DFT formation energy ... 0.38 eV per formula unit

Structure (extended XYZ):
```
4
Lattice="5.1765 0.0000 0.0000 2.5883 4.4830 0.0000 2.5883 1.4943 4.2266" Properties=species:S:1:pos:R:3 pbc="T T T"
Tb 2.5883 1.4943 1.0566
Mg 0.0000 0.0000 0.0000
Ho 7.7648 4.4830 3.1699
Mn 5.1765 2.9887 2.1133
```

Density functional theory data (PBE) for a geometry-optimized PuSbPt structure.

Results
Formation energy (no corrections) ... -0.74 eV per atom

Structure (extended XYZ):
```
6
Lattice="4.6199 0.0000 0.0000 2.3100 5.4616 -0.1857 2.3100 -0.0891 5.4640" Properties=species:S:1:pos:R:3 pbc="T T T"
Pt 4.6199 4.1725 4.3462
Pt 4.6199 0.9531 1.1833
Sb 6.9299 3.0749 5.1304
Sb 2.3100 0.1885 2.2946
Pu 2.3100 3.3615 1.9519
Pu 4.6199 0.9227 4.4341
```

Density functional theory data (PBE) for a geometry-optimized BeAgBr2 structure.

Results
Formation energy (no corrections) ... -0.08 eV per atom

Structure (extended XYZ):
```
4
Lattice="-4.1884 -0.6653 -0.6488 2.8421 -0.9223 3.0787 -1.9343 8.0768 4.2052" Properties=species:S:1:pos:R:3 pbc="T T T"
Ag -1.0464 4.3694 2.2749
Br -1.7475 7.2970 3.7992
Br -1.2734 1.7125 2.5198
Be -2.1147 5.2257 4.3490
```